Material: TmHPb
Method: DFT, GGA-PBE
State: optimized geometry

Cell lengths 3.5197, 5.5881, 6.2675 Å; angles 84.58, 73.75, 89.89 degrees
Fractional coordinates of all 6 atoms:
1 Tm 0.1355 0.3600 0.2318
2 Tm 0.8645 0.6400 0.7682
3 H 0.2715 0.6224 0.9553
4 H 0.7285 0.3776 0.0447
5 Pb 0.3919 0.1470 0.7118
6 Pb 0.6081 0.8530 0.2882

Output
offset from the most stable computed form: 0.086 eV per atom
SG: No. 2
calculated volume: 117.78 Å³ per cell